Record 1
The following is a DFT calculation (PBE) of an optimized crystal structure of Ac6CoHg3Rh2.

Results
Energy   -4.417 eV per atom
Formation enthalpy at 0 K   -470 meV/atom
SG   C2/m, No. 12

Unit cell a=7.3921 b=7.3921 c=8.6291 alpha=98.19 beta=98.19 gamma=119.96
Fractional positions:
Ac1 0.0655 0.3916 0.1972
Ac2 0.2592 0.2592 0.7987
Ac3 0.3916 0.0655 0.1972
Ac4 0.6084 0.9345 0.8028
Ac5 0.7408 0.7408 0.2013
Ac6 0.9345 0.6084 0.8028
Co1 0.0000 0.0000 0.0000
Hg1 0.1725 0.8275 0.5000
Hg2 0.5000 0.5000 0.5000
Hg3 0.8275 0.1725 0.5000
Rh1 0.3343 0.6657 0.0000
Rh2 0.6657 0.3343 0.0000

---

Record 2
The following is a DFT calculation (PBE) of an optimized crystal structure of Ac2Sm2CoHg2.

Results
Energy   -3.881 eV per atom
Formation enthalpy at 0 K   -258 meV/atom
SG   C2/m, No. 12

Unit cell a=8.0822 b=8.0822 c=7.3538 alpha=110.99 beta=110.99 gamma=29.42
Fractional positions:
Ac1 0.1986 0.1986 0.1895
Ac2 0.8014 0.8014 0.8105
Sm1 0.4835 0.4835 0.2332
Sm2 0.5165 0.5165 0.7668
Co1 0.0000 0.0000 0.0000
Hg1 0.1203 0.1203 0.5731
Hg2 0.8797 0.8797 0.4269

---

Record 3
The following is a DFT calculation (PBE) of an optimized crystal structure of Ac4TlCoHg.

Results
Energy   -3.938 eV per atom
Formation enthalpy at 0 K   -194 meV/atom
SG   Cmcm, No. 63

Unit cell a=9.2917 b=9.2917 c=7.7132 alpha=90.00 beta=90.00 gamma=130.95
Fractional positions:
Ac1 0.0000 0.5000 0.0000
Ac2 0.0000 0.5000 0.5000
Ac3 0.0718 0.9282 0.7500
Ac4 0.4246 0.5754 0.7500
Ac5 0.5000 0.0000 0.0000
Ac6 0.5000 0.0000 0.5000
Ac7 0.5754 0.4246 0.2500
Ac8 0.9282 0.0718 0.2500
Tl1 0.3829 0.6171 0.2500
Tl2 0.6171 0.3829 0.7500
Co1 0.2479 0.7521 0.7500
Co2 0.7521 0.2479 0.2500
Hg1 0.1205 0.8795 0.2500
Hg2 0.8795 0.1205 0.7500

---

Record 4
The following is a DFT calculation (PBE) of an optimized crystal structure of AcHo2Co.

Results
Energy   -5.171 eV per atom
Formation enthalpy at 0 K   -79 meV/atom
SG   Cmcm, No. 63

Unit cell a=6.4968 b=6.4968 c=9.6405 alpha=90.00 beta=90.00 gamma=146.42
Fractional positions:
Ac1 0.0816 0.9184 0.7500
Ac2 0.9184 0.0816 0.2500
Ho1 0.3534 0.6466 0.5752
Ho2 0.3534 0.6466 0.9248
Ho3 0.6466 0.3534 0.0752
Ho4 0.6466 0.3534 0.4248
Co1 0.2403 0.7597 0.2500
Co2 0.7597 0.2403 0.7500

---

Record 5
The following is a DFT calculation (PBE) of an optimized crystal structure of AcHo2Co.

Results
Energy   -5.118 eV per atom
Formation enthalpy at 0 K   -26 meV/atom
SG   P4/mmm, No. 123

Unit cell a=3.4875 b=3.4875 c=9.1225 alpha=90.00 beta=90.00 gamma=90.00
Fractional positions:
Ac1 0.0000 0.0000 0.0000
Ho1 0.5000 0.5000 0.3271
Ho2 0.5000 0.5000 0.6729
Co1 0.0000 0.0000 0.5000

---

Record 6
The following is a DFT calculation (PBE) of an optimized crystal structure of AcHo2Co.

Results
Energy   -5.004 eV per atom
Formation enthalpy at 0 K   88 meV/atom
SG   R-3m, No. 166

Unit cell a=10.6443 b=10.6443 c=10.6443 alpha=20.39 beta=20.39 gamma=20.39
Fractional positions:
Ac1 0.0000 0.0000 0.0000
Ho1 0.1194 0.1194 0.1194
Ho2 0.8806 0.8806 0.8806
Co1 0.5000 0.5000 0.5000

---

Record 7
The following is a DFT calculation (PBE) of an optimized crystal structure of AcHoCo.

Results
Energy   -5.317 eV per atom
Formation enthalpy at 0 K   -53 meV/atom
SG   C2/m, No. 12

Unit cell a=4.1510 b=4.1510 c=12.2248 alpha=99.78 beta=99.78 gamma=60.09
Fractional positions:
Ac1 0.1142 0.1142 0.3429
Ac2 0.8858 0.8858 0.6571
Ho1 0.2968 0.2968 0.8918
Ho2 0.7032 0.7032 0.1082
Co1 0.4043 0.4043 0.2112
Co2 0.5957 0.5957 0.7888

---

Record 8
The following is a DFT calculation (PBE) of an optimized crystal structure of AcHoCo2.

Results
Energy   -5.655 eV per atom
Formation enthalpy at 0 K   69 meV/atom
SG   P4/mmm, No. 123

Unit cell a=3.4949 b=3.4949 c=6.9607 alpha=90.00 beta=90.00 gamma=90.00
Fractional positions:
Ac1 0.0000 0.0000 0.0000
Ho1 0.0000 0.0000 0.5000
Co1 0.5000 0.5000 0.2795
Co2 0.5000 0.5000 0.7205

---

Record 9
The following is a DFT calculation (PBE) of an optimized crystal structure of Ac2HoCo.

Results
Energy   -4.315 eV per atom
Formation enthalpy at 0 K   660 meV/atom
SG   R-3m, No. 166

Unit cell a=11.4861 b=11.4861 c=11.4861 alpha=18.62 beta=18.62 gamma=18.62
Fractional positions:
Ac1 0.0767 0.0767 0.0767
Ac2 0.9233 0.9233 0.9233
Ho1 0.5000 0.5000 0.5000
Co1 0.0000 0.0000 0.0000

---

Record 10
The following is a DFT calculation (PBE) of an optimized crystal structure of AcHoCo.

Results
Energy   -5.216 eV per atom
Formation enthalpy at 0 K   48 meV/atom
SG   I4mm, No. 107

Unit cell a=7.0380 b=7.0380 c=7.0380 alpha=150.92 beta=150.92 gamma=41.59
Fractional positions:
Ac1 0.0000 0.0000 0.0000
Ho1 0.2551 0.2551 0.0000
Co1 0.6451 0.6451 0.0000

---

Record 11
The following is a DFT calculation (PBE) of an optimized crystal structure of Ac12HoCo7.

Results
Energy   -5.199 eV per atom
Formation enthalpy at 0 K   -18 meV/atom
SG   R-3, No. 148

Unit cell a=9.2406 b=9.2406 c=9.2406 alpha=107.48 beta=107.48 gamma=107.48
Fractional positions:
Ac1 0.0548 0.1290 0.3458
Ac2 0.1290 0.3458 0.0548
Ac3 0.1848 0.5756 0.7197
Ac4 0.2803 0.8152 0.4244
Ac5 0.3458 0.0548 0.1290
Ac6 0.4244 0.2803 0.8152
Ac7 0.5756 0.7197 0.1848
Ac8 0.6542 0.9452 0.8710
Ac9 0.7197 0.1848 0.5756
Ac10 0.8152 0.4244 0.2803
Ac11 0.8710 0.6542 0.9452
Ac12 0.9452 0.8710 0.6542
Ho1 0.5000 0.5000 0.5000
Co1 0.0000 0.0000 0.0000
Co2 0.1570 0.4794 0.3847
Co3 0.3847 0.1570 0.4794
Co4 0.4794 0.3847 0.1570
Co5 0.5206 0.6153 0.8430
Co6 0.6153 0.8430 0.5206
Co7 0.8430 0.5206 0.6153

---

Record 12
The following is a DFT calculation (PBE) of an optimized crystal structure of AcHo2Co.

Results
Energy   -5.135 eV per atom
Formation enthalpy at 0 K   -42 meV/atom
SG   R3m, No. 160

Unit cell a=9.4076 b=9.4076 c=9.4076 alpha=24.02 beta=24.02 gamma=24.02
Fractional positions:
Ac1 0.0000 0.0000 0.0000
Ho1 0.5496 0.5496 0.5496
Ho2 0.7807 0.7807 0.7807
Co1 0.1653 0.1653 0.1653

---

no.,total magnetization (Bohr magnetons per cell)
1,0.0
2,0.0
3,0.0
4,0.0
5,0.7
6,0.0
7,0.0
8,1.0
9,1.0
10,0.8
11,0.0
12,0.0